No. 1
This record from Alexandria describes SmScCu4 after structural relaxation. The functional is PBE-GGA.

```
data_SmScCu4
_chemical_formula_sum 'Sm1 Sc1 Cu4'
_space_group_name_H-M_alt 'P 1'
_space_group_IT_number 1
_cell_length_a 5.1977
_cell_length_b 5.1977
_cell_length_c 5.1977
_cell_angle_alpha 60.00
_cell_angle_beta 60.00
_cell_angle_gamma 60.00
loop_
_space_group_symop_operation_xyz
'x,y,z'
loop_
_atom_site_label
_atom_site_type_symbol
_atom_site_fract_x
_atom_site_fract_y
_atom_site_fract_z
Sc1 Sc 0.2500 0.2500 0.2500
Cu1 Cu 0.6237 0.6237 0.1289
Cu2 Cu 0.6237 0.1289 0.6237
Cu3 Cu 0.6237 0.6237 0.6237
Cu4 Cu 0.1289 0.6237 0.6237
Sm1 Sm 0.0000 0.0000 0.0000
```

**Energy of formation**: -0.9 eV per formula unit
**Density of states at the Fermi level**: 3.9 states/eV per cell

---

No. 2
This record from Alexandria describes Al2GaTeW after structural relaxation. The functional is PBE-GGA.

```
data_Al2GaTeW
_chemical_formula_sum 'Al2 Ga1 Te1 W1'
_space_group_name_H-M_alt 'P 1'
_space_group_IT_number 1
_cell_length_a 5.0655
_cell_length_b 5.0535
_cell_length_c 5.0655
_cell_angle_alpha 90.00
_cell_angle_beta 90.00
_cell_angle_gamma 90.00
loop_
_space_group_symop_operation_xyz
'x,y,z'
loop_
_atom_site_label
_atom_site_type_symbol
_atom_site_fract_x
_atom_site_fract_y
_atom_site_fract_z
Te1 Te 0.0000 0.0000 0.0000
Ga1 Ga 0.0000 0.5000 0.0000
W1 W 0.5000 0.5000 0.5000
Al1 Al 0.0000 0.0000 0.5000
Al2 Al 0.5000 0.0000 0.0000
```

**Density of states at the Fermi level**: 6.7 states/eV per cell
**Uncorrected formation energy**: 1.94 eV per atom

---

No. 3
This record from Alexandria describes La5Nd2Tm2 after structural relaxation. The functional is PBE-GGA.

```
data_La5Nd2Tm2
_chemical_formula_sum 'La5 Nd2 Tm2'
_space_group_name_H-M_alt 'P 1'
_space_group_IT_number 1
_cell_length_a 6.3863
_cell_length_b 6.3885
_cell_length_c 14.2801
_cell_angle_alpha 58.01
_cell_angle_beta 132.59
_cell_angle_gamma 132.14
loop_
_space_group_symop_operation_xyz
'x,y,z'
loop_
_atom_site_label
_atom_site_type_symbol
_atom_site_fract_x
_atom_site_fract_y
_atom_site_fract_z
La1 La 0.4440 0.6664 0.1104
La2 La 0.5560 0.3336 0.8896
La3 La 0.2222 0.3320 0.5544
La4 La 0.7778 0.6680 0.4456
La5 La 0.0000 0.0000 0.0000
Nd1 Nd 0.6707 0.9979 0.6691
Nd2 Nd 0.3293 0.0021 0.3309
Tm1 Tm 0.1092 0.6671 0.7767
Tm2 Tm 0.8908 0.3329 0.2233
```

**Energy of formation**: 0.2 eV per formula unit
**Density of states at the Fermi level**: 16.9 states/eV per cell

---

No. 4
This record from Alexandria describes ZrVH3 after structural relaxation. The functional is PBE-GGA.

```
data_ZrVH3
_chemical_formula_sum 'Zr1 V1 H3'
_space_group_name_H-M_alt 'P 1'
_space_group_IT_number 1
_cell_length_a 3.4752
_cell_length_b 3.4752
_cell_length_c 3.4752
_cell_angle_alpha 90.00
_cell_angle_beta 90.00
_cell_angle_gamma 90.00
loop_
_space_group_symop_operation_xyz
'x,y,z'
loop_
_atom_site_label
_atom_site_type_symbol
_atom_site_fract_x
_atom_site_fract_y
_atom_site_fract_z
H1 H 0.0000 0.5000 0.0000
H2 H 0.0000 0.0000 0.5000
H3 H 0.5000 0.0000 0.0000
Zr1 Zr 0.5000 0.5000 0.5000
V1 V 0.0000 0.0000 0.0000
```

**Density of states at the Fermi level**: 1.3 states/eV per cell
**Electronic total energy**: -5.792 eV per atom

---

No. 5
This record from Alexandria describes Cu2Re after structural relaxation. The functional is PBE-GGA.

```
data_Cu2Re
_chemical_formula_sum 'Cu4 Re2'
_space_group_name_H-M_alt 'P 1'
_space_group_IT_number 1
_cell_length_a 4.9317
_cell_length_b 4.9317
_cell_length_c 4.9317
_cell_angle_alpha 103.74
_cell_angle_beta 103.74
_cell_angle_gamma 121.67
loop_
_space_group_symop_operation_xyz
'x,y,z'
loop_
_atom_site_label
_atom_site_type_symbol
_atom_site_fract_x
_atom_site_fract_y
_atom_site_fract_z
Cu1 Cu 0.6478 0.8522 0.5000
Cu2 Cu 0.1478 0.6478 0.7956
Cu3 Cu 0.8522 0.3522 0.2044
Cu4 Cu 0.3522 0.1478 0.5000
Re1 Re 0.2500 0.2500 0.0000
Re2 Re 0.7500 0.7500 0.0000
```

**Energy of formation**: 2.1 eV per formula unit
**Density of states at the Fermi level**: 4.8 states/eV per cell

---

No. 6
This record from Alexandria describes YTcHg4 after structural relaxation. The functional is PBE-GGA.

```
data_YTcHg4
_chemical_formula_sum 'Y1 Tc1 Hg4'
_space_group_name_H-M_alt 'P 1'
_space_group_IT_number 1
_cell_length_a 5.7268
_cell_length_b 5.7268
_cell_length_c 5.7268
_cell_angle_alpha 60.00
_cell_angle_beta 60.00
_cell_angle_gamma 60.00
loop_
_space_group_symop_operation_xyz
'x,y,z'
loop_
_atom_site_label
_atom_site_type_symbol
_atom_site_fract_x
_atom_site_fract_y
_atom_site_fract_z
Y1 Y 0.0000 0.0000 0.0000
Tc1 Tc 0.7500 0.7500 0.7500
Hg1 Hg 0.8735 0.3755 0.3755
Hg2 Hg 0.3755 0.3755 0.8735
Hg3 Hg 0.3755 0.8735 0.3755
Hg4 Hg 0.3755 0.3755 0.3755
```

**Energy of formation**: 1.9 eV per formula unit
**Density of states at the Fermi level**: 6.8 states/eV per cell

---

No. 7
This record from Alexandria describes BaLiCd8Au2 after structural relaxation. The functional is PBE-GGA.

```
data_BaLiCd8Au2
_chemical_formula_sum 'Ba1 Li1 Cd8 Au2'
_space_group_name_H-M_alt 'P 1'
_space_group_IT_number 1
_cell_length_a 5.8681
_cell_length_b 5.8681
_cell_length_c 11.1282
_cell_angle_alpha 116.37
_cell_angle_beta 116.37
_cell_angle_gamma 58.69
loop_
_space_group_symop_operation_xyz
'x,y,z'
loop_
_atom_site_label
_atom_site_type_symbol
_atom_site_fract_x
_atom_site_fract_y
_atom_site_fract_z
Ba1 Ba 0.0000 0.0000 0.5000
Li1 Li 0.0000 0.0000 0.0000
Cd1 Cd 0.8634 0.3667 0.8457
Cd2 Cd 0.6336 0.6336 0.1417
Cd3 Cd 0.7765 0.7765 0.6942
Cd4 Cd 0.2235 0.2235 0.3058
Cd5 Cd 0.3664 0.3664 0.8583
Cd6 Cd 0.3667 0.8634 0.8457
Cd7 Cd 0.6333 0.1366 0.1543
Cd8 Cd 0.1366 0.6333 0.1543
Au1 Au 0.6211 0.6211 0.4036
Au2 Au 0.3789 0.3789 0.5964
```

**Energy of formation**: -2.7 eV per formula unit
**Density of states at the Fermi level**: 4.8 states/eV per cell

---

No. 8
This record from Alexandria describes LaSmGaRh after structural relaxation. The functional is PBE-GGA.

```
data_LaSmGaRh
_chemical_formula_sum 'La1 Sm1 Ga1 Rh1'
_space_group_name_H-M_alt 'P 1'
_space_group_IT_number 1
_cell_length_a 5.1432
_cell_length_b 5.1432
_cell_length_c 5.1432
_cell_angle_alpha 60.00
_cell_angle_beta 60.00
_cell_angle_gamma 60.00
loop_
_space_group_symop_operation_xyz
'x,y,z'
loop_
_atom_site_label
_atom_site_type_symbol
_atom_site_fract_x
_atom_site_fract_y
_atom_site_fract_z
Rh1 Rh 0.5000 0.5000 0.5000
Ga1 Ga 0.0000 0.0000 0.0000
Sm1 Sm 0.2500 0.2500 0.2500
La1 La 0.7500 0.7500 0.7500
```

**Energy of formation**: -2.2 eV per formula unit
**Density of states at the Fermi level**: 3.6 states/eV per cell

---

No. 9
This record from Alexandria describes NaGeSCl2 after structural relaxation. The functional is PBE-GGA.

```
data_NaGeSCl2
_chemical_formula_sum 'Na1 Ge1 S1 Cl2'
_space_group_name_H-M_alt 'P 1'
_space_group_IT_number 1
_cell_length_a 5.1581
_cell_length_b 4.6812
_cell_length_c 5.1581
_cell_angle_alpha 90.00
_cell_angle_beta 90.00
_cell_angle_gamma 90.00
loop_
_space_group_symop_operation_xyz
'x,y,z'
loop_
_atom_site_label
_atom_site_type_symbol
_atom_site_fract_x
_atom_site_fract_y
_atom_site_fract_z
Na1 Na 0.5000 0.5000 0.5000
Ge1 Ge 0.0000 0.0000 0.0000
S1 S 0.0000 0.5000 0.0000
Cl1 Cl 0.0000 0.0000 0.5000
Cl2 Cl 0.5000 0.0000 0.0000
```

**Density of states at the Fermi level**: 0.8 states/eV per cell
**Uncorrected formation energy**: -0.73 eV per atom

---

No. 10
This record from Alexandria describes CsHg2OsAu after structural relaxation. The functional is PBE-GGA.

```
data_CsHg2OsAu
_chemical_formula_sum 'Cs1 Hg2 Os1 Au1'
_space_group_name_H-M_alt 'P 1'
_space_group_IT_number 1
_cell_length_a 5.5402
_cell_length_b 5.3092
_cell_length_c 5.5402
_cell_angle_alpha 90.00
_cell_angle_beta 90.00
_cell_angle_gamma 90.00
loop_
_space_group_symop_operation_xyz
'x,y,z'
loop_
_atom_site_label
_atom_site_type_symbol
_atom_site_fract_x
_atom_site_fract_y
_atom_site_fract_z
Cs1 Cs 0.5000 0.5000 0.5000
Os1 Os 0.0000 0.5000 0.0000
Au1 Au 0.0000 0.0000 0.0000
Hg1 Hg 0.0000 0.0000 0.5000
Hg2 Hg 0.5000 0.0000 0.0000
```

**Energy of formation**: 4.2 eV per formula unit
**Density of states at the Fermi level**: 2.4 states/eV per cell

---

No. 11
This record from Alexandria describes Na2UAuS4 after structural relaxation. The functional is PBE-GGA.

```
data_Na2UAuS4
_chemical_formula_sum 'Na2 U1 Au1 S4'
_space_group_name_H-M_alt 'P 1'
_space_group_IT_number 1
_cell_length_a 6.3078
_cell_length_b 6.3078
_cell_length_c 6.3078
_cell_angle_alpha 102.94
_cell_angle_beta 112.83
_cell_angle_gamma 112.83
loop_
_space_group_symop_operation_xyz
'x,y,z'
loop_
_atom_site_label
_atom_site_type_symbol
_atom_site_fract_x
_atom_site_fract_y
_atom_site_fract_z
Na1 Na 0.5000 0.7500 0.2500
Na2 Na 0.0000 0.0000 0.0000
U1 U 0.5000 0.2500 0.7500
Au1 Au 0.0000 0.5000 0.5000
S1 S 0.5225 0.3446 0.3834
S2 S 0.0388 0.1779 0.6554
S3 S 0.9612 0.6166 0.1391
S4 S 0.4775 0.8609 0.8221
```

**Density of states at the Fermi level**: 4.9 states/eV per cell
**Uncorrected formation energy**: -0.79 eV per atom

---

No. 12
This record from Alexandria describes Cs4NaSn3Br12 after structural relaxation. The functional is PBE-GGA.

```
data_Cs4NaSn3Br12
_chemical_formula_sum 'Cs4 Na1 Sn3 Br12'
_space_group_name_H-M_alt 'P 1'
_space_group_IT_number 1
_cell_length_a 10.0437
_cell_length_b 10.0437
_cell_length_c 10.0437
_cell_angle_alpha 109.47
_cell_angle_beta 109.47
_cell_angle_gamma 109.47
loop_
_space_group_symop_operation_xyz
'x,y,z'
loop_
_atom_site_label
_atom_site_type_symbol
_atom_site_fract_x
_atom_site_fract_y
_atom_site_fract_z
Cs1 Cs 0.5000 0.5000 0.5000
Cs2 Cs 0.0000 0.0000 0.5000
Cs3 Cs 0.5000 0.0000 0.0000
Cs4 Cs 0.0000 0.5000 0.0000
Na1 Na 0.0000 0.0000 0.0000
Sn1 Sn 0.5000 0.0000 0.5000
Sn2 Sn 0.5000 0.5000 0.0000
Sn3 Sn 0.0000 0.5000 0.5000
Br1 Br 0.2500 0.5000 0.7500
Br2 Br 0.7458 0.0000 0.7458
Br3 Br 0.2542 0.0000 0.2542
Br4 Br 0.7500 0.5000 0.2500
Br5 Br 0.7458 0.7458 0.0000
Br6 Br 0.2542 0.2542 0.0000
Br7 Br 0.7500 0.2500 0.5000
Br8 Br 0.2500 0.7500 0.5000
Br9 Br 0.5000 0.2500 0.7500
Br10 Br 0.0000 0.7458 0.7458
Br11 Br 0.5000 0.7500 0.2500
Br12 Br 0.0000 0.2542 0.2542
```

**Density of states at the Fermi level**: 3.4 states/eV per cell
**Uncorrected formation energy**: -1.27 eV per atom

---

Which value of density of states at the Fermi level does entry 8 give?
3.6 states/eV per cell